Compound: In2FeSiO6
Source: Alexandria
Functional: GGA+U
Structure: optimized geometry

a = 5.2459 Å, b = 5.2703 Å, c = 5.5727 Å
α = 61.01°, β = 61.11°, γ = 60.61°
With the nearest neighbours (Å) after each atom.
Positions (direct):
Fe1 0.8081 0.8097 0.5765  4 O 2.03-2.24
O1 0.2050 0.9780 0.2497  1 Si 1.83
O2 0.6655 0.1229 0.7862  1 Si 1.85
O3 0.9845 0.5594 0.2405  1 Si 1.80
O4 0.1229 0.4283 0.7845  1 Si 1.86
O5 0.5599 0.2148 0.2421  1 Si 1.80
O6 0.4339 0.6721 0.7782  1 Si 1.88, 1 Fe 2.03
In1 0.5340 0.5321 0.3970  6 O 2.14-2.32
In2 0.0264 0.0237 0.9227  6 O 2.11-2.30
Si1 0.3214 0.3205 0.0378  6 O 1.80-1.88

## Properties
Space-group type ... P1 (1)
Final energy ... -6.422 eV/atom